Material: LaCSe
Method: DFT, PBE-GGA
State: optimized geometry

It has space group C2 (No. 5), with a = 13.3298 Å, b = 7.9304 Å, c = 3.9893 Å, α = 90.00°, β = 96.96° and γ = 90.00°. The distinct sites, in fractional coordinates, are La at (0.1681, 0.0000, 0.4698), C at (0.0312, 0.9974, 0.8928) and Se at (0.2480, 0.2519, 0.9990).

The density of states at the Fermi level is 0.111 states/eV/f.u. Its uncorrected formation energy is -0.9384 eV/atom. Its polymorph energy (0 for the lowest one) is 0.077 eV per atom. The crystal system is monoclinic. The calculation puts the total moment at 0.0 μB per formula unit. The value obtained for the electronic total energy is -6.82 eV/atom.